[1]
VASP calculation (GGA-PBEsol) on a relaxed K3Li2Nb6P3O24 crystal.

Lattice parameters (Å, degrees): 13.3080 13.3080 10.7671 90.00 90.00 120.00
Last column: nearest neighbours and their distance in Å.
Space group R3 (No. 146, hexagonal axes)
Asymmetric unit:
K1 0.0611 0.7255 0.0000 [9 per cell]  4 O 2.69-2.88
Li1 0.0000 0.0000 0.0297 [3 per cell]  3 O 2.00
Li2 0.0000 0.0000 0.3068 [3 per cell]  3 O 2.01
Nb1 0.0198 0.1706 0.4929 [9 per cell]  5 O 1.90-2.13
Nb2 0.1706 0.0199 0.8431 [9 per cell]  5 O 1.90-2.13
P1 0.0002 0.2169 0.1678 [9 per cell]  4 O 1.55
O1 0.9999 0.1523 0.6679 [9 per cell]  2 Nb 1.90
O2 0.0000 0.4697 0.1679 [9 per cell]  2 Nb 1.93-1.94
O3 0.0033 0.4419 0.5244 [9 per cell]  1 P 1.55
O4 0.0100 0.8820 0.8663 [9 per cell]  2 Nb 1.91-2.02
O5 0.0193 0.1582 0.2824 [9 per cell]  1 P 1.55
O6 0.1092 0.3367 0.1445 [9 per cell]  1 P 1.55
O7 0.1278 0.1179 0.4694 [9 per cell]  2 Nb 1.91-2.02
O8 0.1581 0.0191 0.0533 [9 per cell]  1 P 1.55

The calculated volume is 14.49 Å³/atom. The energy is -923.3 eV/cell. The value obtained for the size of the total moment is 0.0 Bohr magnetons per cell.

[2]
VASP calculation (GGA-PBEsol) on a relaxed KLiNbRu2 crystal.

Lattice parameters (Å, degrees): 4.6727 4.6727 5.4569 90.00 90.00 90.00
Last column: nearest neighbours and their distance in Å.
Space group P4/mmm (No. 123)
Asymmetric unit:
K1 0.0000 0.0000 0.0000 [1 per cell]  4 Li 3.30, 8 Ru 3.59
Li1 0.5000 0.5000 0.0000 [1 per cell]  2 Nb 2.73
Nb1 0.5000 0.5000 0.5000 [1 per cell]  4 Ru 2.34
Ru1 0.0000 0.5000 0.5000 [2 per cell]  2 Nb 2.34

The calculated volume is 23.83 Å³/atom. The value obtained for the formation energy is 1192 meV/atom. The value obtained for the size of the total moment is 0.0 Bohr magnetons per cell.

[3]
VASP calculation (GGA-PBEsol) on a relaxed KLi2NbZn crystal.

Lattice parameters (Å, degrees): 4.9678 4.9678 5.6517 90.00 90.00 90.00
Last column: nearest neighbours and their distance in Å.
Space group P4/mmm (No. 123)
Asymmetric unit:
K1 0.0000 0.0000 0.0000 [1 per cell]  2 Zn 2.83
Li1 0.0000 0.5000 0.5000 [2 per cell]  2 Zn 2.48
Nb1 0.5000 0.5000 0.0000 [1 per cell]  4 K 3.51, 8 Li 3.76
Zn1 0.0000 0.0000 0.5000 [1 per cell]  4 Li 2.48

The calculated volume is 27.90 Å³/atom. The value obtained for the formation energy is 1201 meV/atom. The value obtained for the size of the total moment is 4.4 Bohr magnetons per cell.

[4]
VASP calculation (GGA-PBEsol) on a relaxed KLi2Ni crystal.

Lattice parameters (Å, degrees): 4.4223 4.4223 8.5533 90.00 90.00 90.00
Last column: nearest neighbours and their distance in Å.
Space group I-4m2 (No. 119)
Asymmetric unit:
K1 0.0000 0.0000 0.0000 [2 per cell]  8 Li 3.08-3.13, 4 Ni 3.08
Li1 0.0000 0.0000 0.5000 [2 per cell]  4 Li 3.08, 4 Ni 3.08, 4 K 3.13
Li2 0.0000 0.5000 0.2500 [2 per cell]  4 K 3.08, 4 Li 3.08, 4 Ni 3.13
Ni1 0.0000 0.5000 0.7500 [2 per cell]  8 Li 3.08-3.13, 4 K 3.08

The calculated volume is 20.91 Å³/atom. For the energy above the most stable polymorph in this dataset, the calculation gives 202 meV/atom. The value obtained for the formation energy is 569 meV/atom. The value obtained for the size of the total moment is 0.0 Bohr magnetons per cell.

[5]
VASP calculation (GGA-PBEsol) on a relaxed KLi2Ni crystal.

Lattice parameters (Å, degrees): 3.2394 3.2394 8.0728 90.00 90.00 90.00
Last column: nearest neighbours and their distance in Å.
Space group P4/mmm (No. 123)
Asymmetric unit:
K1 0.0000 0.0000 0.0000 [1 per cell]  4 K 3.24
Li1 0.5000 0.5000 0.3505 [2 per cell]  1 Li 2.41, 4 Ni 2.59
Ni1 0.0000 0.0000 0.5000 [1 per cell]  8 Li 2.59

The calculated volume is 21.18 Å³/atom. For the energy above the most stable polymorph in this dataset, the calculation gives 0 meV/atom. The value obtained for the formation energy is 367 meV/atom. The value obtained for the size of the total moment is 0.0 Bohr magnetons per cell.

[6]
VASP calculation (GGA-PBEsol) on a relaxed K2Li2Ni crystal.

Lattice parameters (Å, degrees): 4.6687 4.6687 14.3751 90.00 90.00 90.00
Last column: nearest neighbours and their distance in Å.
Space group I4/mmm (No. 139)
Asymmetric unit:
K1 0.0000 0.5000 0.2500 [4 per cell]  4 K 3.30, 4 Li 3.39
Li1 0.0000 0.0000 0.0790 [4 per cell]  1 Li 2.27
Ni1 0.0000 0.0000 0.5000 [2 per cell]  8 Li 3.49

The calculated volume is 31.33 Å³/atom. The value obtained for the formation energy is 945 meV/atom. The value obtained for the size of the total moment is 0.8 Bohr magnetons per cell.

[7]
VASP calculation (GGA-PBEsol) on a relaxed K2LiNi crystal.

Lattice parameters (Å, degrees): 3.4838 3.4838 10.2932 90.00 90.00 90.00
Last column: nearest neighbours and their distance in Å.
Space group P4/mmm (No. 123)
Asymmetric unit:
K1 0.0000 0.0000 0.1934 [2 per cell]  4 Ni 3.17, 4 K 3.48
Li1 0.5000 0.5000 0.5000 [1 per cell]  4 Li 3.48
Ni1 0.5000 0.5000 0.0000 [1 per cell]  8 K 3.17, 4 Ni 3.48

The calculated volume is 31.23 Å³/atom. For the energy above the most stable polymorph in this dataset, the calculation gives 184 meV/atom. The value obtained for the formation energy is 650 meV/atom. The value obtained for the size of the total moment is 0.1 Bohr magnetons per cell.

[8]
VASP calculation (GGA-PBEsol) on a relaxed K3LiNi crystal.

Lattice parameters (Å, degrees): 6.1116 6.1116 6.1116 90.00 90.00 90.00
Last column: nearest neighbours and their distance in Å.
Space group Pm-3m (No. 221)
Asymmetric unit:
K1 0.0000 0.0000 0.5000 [3 per cell]  2 Ni 3.06
Li1 0.5000 0.5000 0.5000 [1 per cell]  12 K 4.32
Ni1 0.0000 0.0000 0.0000 [1 per cell]  6 K 3.06

The calculated volume is 45.66 Å³/atom. The value obtained for the formation energy is 577 meV/atom. The value obtained for the size of the total moment is 0.2 Bohr magnetons per cell.

[9]
VASP calculation (GGA-PBEsol) on a relaxed K2LiNi crystal.

Lattice parameters (Å, degrees): 3.5486 3.5486 9.5775 90.00 90.00 90.00
Last column: nearest neighbours and their distance in Å.
Space group P4mm (No. 99)
Asymmetric unit:
K1 0.0000 0.0000 0.0000 [1 per cell]  1 Li 2.94
K2 0.5000 0.5000 0.4263 [1 per cell]  1 Ni 3.14
Li1 0.0000 0.0000 0.6934 [1 per cell]  4 Ni 2.58
Ni1 0.5000 0.5000 0.7541 [1 per cell]  4 Li 2.58

The calculated volume is 30.15 Å³/atom. For the energy above the most stable polymorph in this dataset, the calculation gives 0 meV/atom. The value obtained for the formation energy is 467 meV/atom. The value obtained for the size of the total moment is 0.0 Bohr magnetons per cell.

[10]
VASP calculation (GGA-PBEsol) on a relaxed K2LiNi crystal.

Lattice parameters (Å, degrees): 4.9701 4.9833 9.3479 90.00 90.00 90.00
Last column: nearest neighbours and their distance in Å.
Space group Immm (No. 71)
Asymmetric unit:
K1 0.0000 0.0000 0.2495 [4 per cell]  4 Ni 3.41-3.42, 4 Li 3.41, 4 K 3.52
Li1 0.0000 0.5000 0.0000 [2 per cell]  8 K 3.41, 4 Ni 3.52
Ni1 0.0000 0.5000 0.5000 [2 per cell]  8 K 3.41-3.42, 4 Li 3.52

The calculated volume is 28.94 Å³/atom. For the energy above the most stable polymorph in this dataset, the calculation gives 223 meV/atom. The value obtained for the formation energy is 690 meV/atom. The value obtained for the size of the total moment is 0.1 Bohr magnetons per cell.

[11]
VASP calculation (GGA-PBEsol) on a relaxed K2Li2NiO4 crystal.

Lattice parameters (Å, degrees): 5.4078 9.0126 10.9199 90.00 111.93 90.00
Last column: nearest neighbours and their distance in Å.
Space group P2_1/c (No. 14)
Asymmetric unit:
K1 0.1810 0.9998 0.3625 [4 per cell]  5 O 2.64-2.86, 2 Li 2.67-2.90
K2 0.3164 0.2305 0.1551 [4 per cell]  6 O 2.72-2.98, 2 Li 2.99
Li1 0.1009 0.7485 0.6830 [4 per cell]  4 O 1.92-1.98
Li2 0.1506 0.0132 0.9324 [4 per cell]  4 O 1.92-2.04
Ni1 0.3697 0.7148 0.5440 [4 per cell]  4 O 1.79-1.84
O1 0.1998 0.6887 0.3659 [4 per cell]  1 Ni 1.83, 2 Li 1.95-2.01
O2 0.2256 0.5708 0.6165 [4 per cell]  1 Ni 1.84, 3 Li 1.97-2.04
O3 0.2715 0.6146 0.0974 [4 per cell]  1 Ni 1.79, 1 Li 1.97
O4 0.2728 0.2043 0.9000 [4 per cell]  1 Ni 1.80, 2 Li 1.92

The calculated volume is 13.71 Å³/atom. The energy is -179.2 eV/cell. The value obtained for the size of the total moment is 16.2 Bohr magnetons per cell.

[12]
VASP calculation (GGA-PBEsol) on a relaxed KLi2O2 crystal.

Lattice parameters (Å, degrees): 3.4005 3.4005 10.2887 90.00 90.00 90.00
Last column: nearest neighbours and their distance in Å.
Space group I4/mmm (No. 139)
Asymmetric unit:
K1 0.0000 0.0000 0.0000 [2 per cell]  8 O 2.92, 8 Li 3.08
Li1 0.0000 0.5000 0.2500 [4 per cell]  4 O 1.93
O1 0.0000 0.0000 0.3386 [4 per cell]  4 Li 1.93

The calculated volume is 11.90 Å³/atom. The energy is -45.0 eV/cell. The value obtained for the size of the total moment is 2.0 Bohr magnetons per cell.

Among the records above, which one has the highest calculated volume?
K3LiNi

Copy entry 1 word for word.
VASP calculation (GGA-PBEsol) on a relaxed K3Li2Nb6P3O24 crystal.

Lattice parameters (Å, degrees): 13.3080 13.3080 10.7671 90.00 90.00 120.00
Last column: nearest neighbours and their distance in Å.
Space group R3 (No. 146, hexagonal axes)
Asymmetric unit:
K1 0.0611 0.7255 0.0000 [9 per cell]  4 O 2.69-2.88
Li1 0.0000 0.0000 0.0297 [3 per cell]  3 O 2.00
Li2 0.0000 0.0000 0.3068 [3 per cell]  3 O 2.01
Nb1 0.0198 0.1706 0.4929 [9 per cell]  5 O 1.90-2.13
Nb2 0.1706 0.0199 0.8431 [9 per cell]  5 O 1.90-2.13
P1 0.0002 0.2169 0.1678 [9 per cell]  4 O 1.55
O1 0.9999 0.1523 0.6679 [9 per cell]  2 Nb 1.90
O2 0.0000 0.4697 0.1679 [9 per cell]  2 Nb 1.93-1.94
O3 0.0033 0.4419 0.5244 [9 per cell]  1 P 1.55
O4 0.0100 0.8820 0.8663 [9 per cell]  2 Nb 1.91-2.02
O5 0.0193 0.1582 0.2824 [9 per cell]  1 P 1.55
O6 0.1092 0.3367 0.1445 [9 per cell]  1 P 1.55
O7 0.1278 0.1179 0.4694 [9 per cell]  2 Nb 1.91-2.02
O8 0.1581 0.0191 0.0533 [9 per cell]  1 P 1.55

The calculated volume is 14.49 Å³/atom. The energy is -923.3 eV/cell. The value obtained for the size of the total moment is 0.0 Bohr magnetons per cell.